[1]
Crystalline Al2InIr at its relaxed geometry, computed with PBEsol.

Cell: 4.6925 4.6925 4.9208 Å, 97.77 97.77 37.91°
Last column: nearest neighbours and their distance in Å.
Fractional coordinates of all 4 atoms:
1 Al 0.0000 0.0000 0.0000  3 Ir 2.60-2.62, 3 Al 2.64-2.84, 2 In 2.82
2 Al 0.2459 0.2459 0.7552  2 Ir 2.55, 3 Al 2.64-2.84, 1 In 2.67
3 In 0.4828 0.4828 0.4759  7 Al 2.67-2.98, 3 Ir 2.86-2.94
4 Ir 0.7322 0.7322 0.1666  5 Al 2.55-2.62

Size of the total moment: 0.0 μB/cell
SG: No. 8
Uncorrected energy: -5.4618 eV per atom
Formation energy: -0.86 eV/f.u.

***

[2]
Crystalline Al2InIr at its relaxed geometry, computed with PBEsol.

Cell: 4.5053 4.5053 4.5053 Å, 60.00 60.00 60.00°
Last column: nearest neighbours and their distance in Å.
Fractional coordinates of all 4 atoms:
1 Al 0.0000 0.0000 0.0000  4 In 2.76, 4 Al 2.76
2 Al 0.2500 0.2500 0.2500  4 Ir 2.76, 4 Al 2.76
3 In 0.7500 0.7500 0.7500  4 Al 2.76, 4 Ir 2.76
4 Ir 0.5000 0.5000 0.5000  4 In 2.76, 4 Al 2.76

Size of the total moment: 0.0 μB/cell
SG: No. 216
Uncorrected energy: -5.2369 eV per atom
Formation energy: 0.04 eV/f.u.

***

[3]
Crystalline AlInIr3 at its relaxed geometry, computed with PBEsol.

Cell: 4.7475 4.7475 4.7475 Å, 90.00 90.00 90.00°
Last column: nearest neighbours and their distance in Å.
Fractional coordinates of all 5 atoms:
1 Al 0.0000 0.0000 0.0000  12 Ir 3.36
2 In 0.5000 0.5000 0.5000  6 Ir 2.37
3 Ir 0.0000 0.5000 0.5000  2 In 2.37
4 Ir 0.5000 0.0000 0.5000  2 In 2.37
5 Ir 0.5000 0.5000 0.0000  2 In 2.37

Size of the total moment: 0.0 μB/cell
SG: No. 221
Uncorrected energy: -5.2898 eV per atom
Formation energy: 10.10 eV/f.u.